# 1
Material: Zn6Tc7
Method: DFT, PBE
State: optimized geometry

abc: 9.455 9.455 9.455
angles: 31.42 31.42 31.42
Atoms (fractional coordinates):
Zn 0.154 0.154 0.154
Tc 0.589 0.082 0.589
Tc 0.411 0.918 0.411
Tc 0.082 0.589 0.589
Tc 0.589 0.589 0.082
Zn 0.846 0.846 0.846
Zn 0.334 0.334 0.334
Tc 0.500 0.500 0.500
Zn 0.945 0.945 0.945
Tc 0.411 0.411 0.918
Tc 0.918 0.411 0.411
Zn 0.055 0.055 0.055
Zn 0.666 0.666 0.666

- Formation energy: 0.2558 eV per atom
- Raw total energy: -76.88 eV per cell
- Total magnetization: 0.0 Bohr magnetons per cell

# 2
Material: Sm2PdS
Method: DFT, PBE
State: optimized geometry

abc: 4.109 3.946 11.818
angles: 99.61 90.00 90.00
Atoms (fractional coordinates):
Pd 0.250 0.456 0.912
Pd 0.750 0.544 0.088
Sm 0.750 0.931 0.861
Sm 0.250 0.311 0.623
S 0.250 0.191 0.382
Sm 0.250 0.069 0.139
Sm 0.750 0.689 0.377
S 0.750 0.809 0.618

- Raw total energy: -48.81 eV per cell
- Total magnetization: 0.0 Bohr magnetons per cell
- E_form (uncorrected): -1.4122 eV per atom
- E above lowest polymorph: 0.000 eV per atom

# 3
Material: BaHo2Rh9
Method: DFT, PBE
State: optimized geometry

abc: 5.348 5.348 9.280
angles: 73.25 73.25 60.00
Atoms (fractional coordinates):
Rh 0.667 0.667 0.000
Ho 0.860 0.860 0.419
Ho 0.140 0.140 0.581
Rh 0.586 0.586 0.745
Rh 0.586 0.083 0.745
Ba 0.000 0.000 0.000
Rh 0.500 0.500 0.500
Rh 0.083 0.586 0.745
Rh 0.414 0.917 0.255
Rh 0.917 0.414 0.255
Rh 0.414 0.414 0.255
Rh 0.333 0.333 0.000

- Formation energy: -0.3915 eV per atom
- Raw total energy: -81.94 eV per cell
- Total magnetization: 0.0 Bohr magnetons per cell

# 4
Material: Ag2PPt
Method: DFT, PBE
State: optimized geometry

abc: 3.141 3.150 6.909
angles: 90.00 90.00 90.00
Atoms (fractional coordinates):
Ag 0.000 0.000 0.989
Pt 0.500 0.500 0.700
Ag 0.500 0.500 0.259
P 0.000 0.000 0.552

- Formation energy: -0.0170 eV per atom
- Raw total energy: -17.22 eV per cell
- Total magnetization: 0.0 Bohr magnetons per cell

# 5
Material: SmSc2Pb
Method: DFT, PBE
State: optimized geometry

abc: 5.238 5.238 5.239
angles: 60.00 60.00 60.00
Atoms (fractional coordinates):
Pb 0.500 0.500 0.500
Sm 0.000 0.000 0.000
Sc 0.250 0.250 0.250
Sc 0.750 0.750 0.750

- Formation energy: -0.0993 eV per atom
- Raw total energy: -21.49 eV per cell
- Total magnetization: 1.6 Bohr magnetons per cell
- E above lowest polymorph: 0.162 eV per atom

# 6
Material: NaSm6Tl5
Method: DFT, PBE
State: optimized geometry

abc: 5.486 7.669 9.545
angles: 113.69 106.70 90.00
Atoms (fractional coordinates):
Sm 0.171 0.918 0.343
Sm 0.829 0.082 0.657
Tl 0.667 0.667 0.335
Na 0.000 0.000 0.000
Sm 0.171 0.424 0.343
Tl 0.348 0.848 0.695
Tl 0.333 0.333 0.665
Sm 0.500 0.262 0.000
Sm 0.500 0.738 0.000
Tl 0.000 0.500 0.000
Sm 0.829 0.576 0.657
Tl 0.652 0.152 0.305

- Formation energy: -0.2929 eV per atom
- Raw total energy: -44.98 eV per cell
- Total magnetization: 0.0 Bohr magnetons per cell
- E above lowest polymorph: 0.000 eV per atom

# 7
Material: BaRu2Se
Method: DFT, PBE
State: optimized geometry

abc: 5.237 5.644 3.283
angles: 72.72 90.76 117.89
Atoms (fractional coordinates):
Ru 0.000 0.000 0.000
Ru 0.500 0.000 0.500
Se 0.000 0.500 0.500
Ba 0.500 0.500 0.000

- Raw total energy: -21.06 eV per cell
- Total magnetization: 0.0 Bohr magnetons per cell
- E_form (uncorrected): 0.7244 eV per atom

# 8
Material: LaScTcBi2
Method: DFT, PBE
State: optimized geometry

abc: 5.902 5.203 5.902
angles: 90.00 90.00 90.00
Atoms (fractional coordinates):
Sc 0.000 0.500 0.000
Bi 0.500 0.000 0.000
Bi 0.000 0.000 0.500
La 0.000 0.000 0.000
Tc 0.500 0.500 0.500

- Formation energy: 1.8347 eV per atom
- Raw total energy: -20.21 eV per cell
- Total magnetization: 0.1 Bohr magnetons per cell

# 9
Material: TbPr5Nd2Er
Method: DFT, PBE
State: optimized geometry

abc: 8.678 8.678 10.463
angles: 114.50 114.50 90.00
Atoms (fractional coordinates):
Pr 0.862 0.925 0.287
Nd 0.878 0.622 0.000
Pr 0.362 0.862 0.287
Pr 0.500 0.500 0.000
Nd 0.122 0.378 0.000
Tb 0.750 0.750 0.500
Nd 0.622 0.122 0.000
Pr 0.075 0.575 0.713
Pr 0.425 0.362 0.287
Er 0.250 0.750 0.500
Er 0.750 0.250 0.500
Pr 0.638 0.138 0.713
Pr 0.575 0.638 0.713
Pr 0.925 0.425 0.287
Tb 0.250 0.250 0.500
Pr 0.000 0.000 0.000
Nd 0.378 0.878 0.000
Pr 0.138 0.075 0.713

- Formation energy: 0.2745 eV per atom
- Raw total energy: -80.31 eV per cell
- Total magnetization: 0.0 Bohr magnetons per cell

# 10
Material: Mg2ScTl
Method: DFT, PBE
State: optimized geometry

abc: 5.094 3.277 5.665
angles: 83.66 90.00 90.00
Atoms (fractional coordinates):
Mg 0.000 0.911 0.002
Mg 0.000 0.589 0.498
Sc 0.500 0.250 0.250
Tl 0.500 0.750 0.750

- Formation energy: -0.0536 eV per atom
- Raw total energy: -12.10 eV per cell
- Total magnetization: 0.0 Bohr magnetons per cell
- E above lowest polymorph: 0.130 eV per atom

# 11
Material: LaNd2Mg
Method: DFT, PBE
State: optimized geometry

abc: 3.797 3.797 9.113
angles: 90.00 90.00 90.00
Atoms (fractional coordinates):
Nd 0.000 0.000 0.223
Nd 0.000 0.000 0.777
Mg 0.500 0.500 0.000
La 0.500 0.500 0.500

- Formation energy: -0.0424 eV per atom
- Raw total energy: -16.23 eV per cell
- Total magnetization: 0.0 Bohr magnetons per cell
- E above lowest polymorph: 0.000 eV per atom

# 12
Material: PrHoMgZr
Method: DFT, PBE
State: optimized geometry

abc: 5.409 5.409 5.409
angles: 60.00 60.00 60.00
Atoms (fractional coordinates):
Pr 0.000 0.000 0.000
Ho 0.500 0.500 0.500
Mg 0.250 0.250 0.250
Zr 0.750 0.750 0.750

- Formation energy: 0.1371 eV per atom
- Raw total energy: -18.95 eV per cell
- Total magnetization: 1.8 Bohr magnetons per cell

# 13
Material: KEr4TmSe8
Method: DFT, PBE
State: optimized geometry

abc: 8.519 8.519 8.506
angles: 59.95 59.95 60.00
Atoms (fractional coordinates):
Er 0.005 0.485 0.505
Se 0.234 0.797 0.736
Se 0.758 0.758 0.257
Tm 0.005 0.005 0.985
Er 0.005 0.005 0.505
Se 0.235 0.235 0.296
Se 0.227 0.758 0.257
Er 0.625 0.625 0.125
K 0.375 0.375 0.874
Se 0.758 0.227 0.257
Se 0.797 0.234 0.736
Se 0.758 0.758 0.727
Se 0.234 0.234 0.736
Er 0.485 0.005 0.505

- Raw total energy: -75.96 eV per cell
- Total magnetization: 0.0 Bohr magnetons per cell
- E_form (uncorrected): -1.7327 eV per atom

# 14
Material: PmNdHg2
Method: DFT, PBE
State: optimized geometry

abc: 3.853 5.391 5.391
angles: 90.00 90.00 90.00
Atoms (fractional coordinates):
Nd 0.500 0.500 0.500
Hg 0.000 0.000 0.500
Pm 0.500 0.000 0.000
Hg 0.000 0.500 0.000

- Formation energy: -0.4744 eV per atom
- Raw total energy: -12.02 eV per cell
- Total magnetization: 0.9 Bohr magnetons per cell
- E above lowest polymorph: 0.000 eV per atom

# 15
Material: Tm2ScSnC
Method: DFT, PBE
State: optimized geometry

abc: 4.569 4.799 4.799
angles: 90.00 90.00 90.00
Atoms (fractional coordinates):
Sn 0.500 0.500 0.500
Tm 0.000 0.500 0.000
Tm 0.000 0.000 0.500
Sc 0.500 0.000 0.000
C 0.000 0.000 0.000

- Formation energy: -0.6981 eV per atom
- Raw total energy: -31.99 eV per cell
- Total magnetization: 0.0 Bohr magnetons per cell

# 16
Material: DyY2Th
Method: DFT, PBE
State: optimized geometry

abc: 5.052 5.034 5.034
angles: 90.00 90.00 90.00
Atoms (fractional coordinates):
Dy 0.500 0.500 0.500
Y 0.000 0.000 0.500
Th 0.500 0.000 0.000
Y 0.000 0.500 0.000

- Formation energy: 0.0441 eV per atom
- Raw total energy: -24.77 eV per cell
- Total magnetization: 0.0 Bohr magnetons per cell
- E above lowest polymorph: 0.019 eV per atom

# 17
Material: Hg3IO2
Method: DFT, PBE
State: optimized geometry

abc: 3.935 8.217 11.056
angles: 86.42 90.00 90.00
Atoms (fractional coordinates):
O 0.250 0.019 0.714
Hg 0.250 0.199 0.828
Hg 0.750 0.596 0.878
Hg 0.250 0.003 0.405
I 0.250 0.415 0.360
Hg 0.750 0.801 0.172
I 0.750 0.585 0.640
Hg 0.750 0.997 0.595
O 0.250 0.396 0.931
O 0.750 0.604 0.069
O 0.750 0.981 0.286
Hg 0.250 0.404 0.122

- Raw total energy: -26.90 eV per cell
- Total magnetization: 0.0 Bohr magnetons per cell
- E_form (uncorrected): -0.1798 eV per atom

# 18
Material: Tm12CdRh6
Method: DFT, PBE
State: optimized geometry

abc: 8.436 8.436 8.436
angles: 109.47 109.47 109.47
Atoms (fractional coordinates):
Rh 0.132 0.632 0.500
Tm 0.701 0.512 0.811
Rh 0.868 0.368 0.500
Tm 0.811 0.299 0.110
Tm 0.488 0.189 0.299
Tm 0.110 0.811 0.299
Tm 0.811 0.701 0.512
Tm 0.299 0.110 0.811
Rh 0.500 0.868 0.368
Tm 0.890 0.189 0.701
Tm 0.701 0.890 0.189
Rh 0.500 0.132 0.632
Tm 0.189 0.299 0.488
Cd 0.000 0.000 0.000
Rh 0.368 0.500 0.868
Tm 0.189 0.701 0.890
Tm 0.299 0.488 0.189
Rh 0.632 0.500 0.132
Tm 0.512 0.811 0.701

- Formation energy: -0.6046 eV per atom
- Raw total energy: -110.17 eV per cell
- Total magnetization: 0.0 Bohr magnetons per cell

# 19
Material: LaPbNO2
Method: DFT, PBE
State: optimized geometry

abc: 4.770 4.770 5.040
angles: 90.00 90.00 90.00
Atoms (fractional coordinates):
N 0.000 0.000 0.500
Pb 0.500 0.500 0.500
O 0.500 0.000 0.000
La 0.000 0.000 0.000
O 0.000 0.500 0.000

- Raw total energy: -30.01 eV per cell
- Total magnetization: 2.0 Bohr magnetons per cell
- E_form (uncorrected): -0.6259 eV per atom

# 20
Material: Nd12SnGe6
Method: DFT, PBE
State: optimized geometry

abc: 8.973 8.973 8.973
angles: 109.47 109.47 109.47
Atoms (fractional coordinates):
Ge 0.380 0.500 0.880
Nd 0.294 0.482 0.188
Ge 0.880 0.380 0.500
Nd 0.188 0.706 0.893
Sn 0.000 0.000 0.000
Nd 0.107 0.812 0.294
Ge 0.120 0.620 0.500
Nd 0.518 0.812 0.706
Ge 0.500 0.880 0.380
Nd 0.706 0.893 0.188
Nd 0.812 0.294 0.107
Nd 0.706 0.518 0.812
Nd 0.482 0.188 0.294
Nd 0.294 0.107 0.812
Nd 0.893 0.188 0.706
Nd 0.188 0.294 0.482
Ge 0.620 0.500 0.120
Ge 0.500 0.120 0.620
Nd 0.812 0.706 0.518

- Formation energy: -0.6085 eV per atom
- Raw total energy: -100.48 eV per cell
- Total magnetization: 0.0 Bohr magnetons per cell